A plane-wave DFT calculation with PBE-GGA was carried out for an optimized crystal structure of ZrMn2As2. Values from VASP.

Properties
Symmetry   C2/m, No. 12
ΔH_f (0 K)   -0.3957 eV/atom
E_tot   -38.2 eV per cell
Spin magnetization   4.57 μB per formula unit

Cell and atoms, written as Quantum ESPRESSO input:
```
&SYSTEM
  ibrav = 0, nat = 5, ntyp = 3
/
ATOMIC_SPECIES
Zr 91.22 Zr.upf
Mn 54.94 Mn.upf
As 74.92 As.upf
ATOMIC_POSITIONS angstrom
Zr 0.0000 0.0000 0.0000
Mn 1.3153 1.3071 2.9251
Mn 1.3153 -1.3071 2.9251
As 0.0104 0.0000 4.4794
As 2.6202 0.0000 1.3709
CELL_PARAMETERS angstrom
2.6118 -2.6138 0.0000
2.6118 2.6138 0.0000
-2.5930 0.0000 5.8503
```